1.
Nd3Sm3Tm5 after structural relaxation. Source: Alexandria, functional PBE-GGA.

The formation energy is 74.7 kJ per mole of atoms. For the uncorrected energy, the calculation gives -3.85 eV per atom.

Cell: 9.597 9.597 5.581 Å, 90.00 90.00 120.00°
Element x y z (fractional)
1 Nd 0.000 0.425 0.000
2 Nd 0.425 0.000 0.000
3 Nd 0.575 0.575 0.000
4 Sm 0.000 0.629 0.500
5 Sm 0.371 0.371 0.500
6 Sm 0.629 0.000 0.500
7 Tm 0.000 0.264 0.500
8 Tm 0.264 0.000 0.500
9 Tm 0.333 0.667 0.500
10 Tm 0.667 0.333 0.500
11 Tm 0.736 0.736 0.500



2.
NaLi3Ir after structural relaxation. Source: Alexandria, functional PBE-GGA.

The formation energy is 23.9 kJ per mole of atoms. For the uncorrected energy, the calculation gives -2.94 eV per atom. The distance to the lowest polymorph of the same formula comes out at 0.0 meV/atom.

Cell: 4.778 4.778 4.778 Å, 90.00 90.00 90.00°
Element x y z (fractional)
1 Na 0.000 0.000 0.000
2 Li 0.000 0.500 0.500
3 Li 0.500 0.000 0.500
4 Li 0.500 0.500 0.000
5 Ir 0.500 0.500 0.500



3.
Pm5InBi4 after structural relaxation. Source: Alexandria, functional PBE-GGA.

The formation energy is -74.3 kJ per mole of atoms. For the uncorrected energy, the calculation gives -4.97 eV per atom.

Cell: 7.908 7.908 7.908 Å, 99.55 99.55 131.92°
Element x y z (fractional)
1 Pm 0.000 0.000 0.000
2 Pm 0.196 0.397 0.593
3 Pm 0.397 0.804 0.201
4 Pm 0.603 0.196 0.799
5 Pm 0.804 0.603 0.407
6 In 0.500 0.500 0.000
7 Bi 0.100 0.700 0.800
8 Bi 0.300 0.100 0.399
9 Bi 0.700 0.900 0.601
10 Bi 0.900 0.300 0.200



| no. | ρ (Mg/m³) |
| --- | --- |
| 1 | 6.45 |
| 2 | 3.59 |
| 3 | 8.28 |